Entry 1:
A relaxed YBeOs2 crystal. Source: Alexandria via LeMat-Bulk, functional PBE.

a = 5.181 Å, b = 5.181 Å, c = 5.181 Å
α = 146.89°, β = 124.65°, γ = 66.03°
Element x y z (fractional)
Y (0.000, 0.000, 0.000)
Be (0.500, 0.500, 0.000)
Os (0.287, 0.787, 0.500)
Os (0.713, 0.213, 0.500)

Properties
**SG**: Immm (71)
**Formation energy**: 0.201 eV/atom

=====

Entry 2:
A relaxed Pr2Tm2Pb2C crystal. Source: Alexandria via LeMat-Bulk, functional PBE.

a = 9.024 Å, b = 9.024 Å, c = 9.024 Å
α = 149.03°, β = 149.03°, γ = 44.37°
Element x y z (fractional)
Pr (0.159, 0.159, 0.000)
Pr (0.841, 0.841, 0.000)
Tm (0.000, 0.500, 0.500)
Tm (0.500, 0.000, 0.500)
Pb (0.364, 0.364, 0.000)
Pb (0.636, 0.636, 0.000)
C (0.000, 0.000, 0.000)

Properties
**SG**: I4/mmm (139)
**Formation energy**: -0.614 eV/atom

=====

Entry 3:
A relaxed BaLiSn4 crystal. Source: Alexandria via LeMat-Bulk, functional PBE.

a = 6.389 Å, b = 6.389 Å, c = 6.389 Å
α = 60.00°, β = 60.00°, γ = 60.00°
Element x y z (fractional)
Ba (0.000, 0.000, 0.000)
Li (0.250, 0.250, 0.250)
Sn (0.126, 0.625, 0.625)
Sn (0.625, 0.126, 0.625)
Sn (0.625, 0.625, 0.126)
Sn (0.625, 0.625, 0.625)

Properties
**SG**: F-43m (216)
**Formation energy**: -0.273 eV/atom

=====

Entry 4:
A relaxed PmYHo5 crystal. Source: Alexandria via LeMat-Bulk, functional PBE.

a = 6.737 Å, b = 6.737 Å, c = 12.136 Å
α = 107.01°, β = 107.01°, γ = 60.07°
Element x y z (fractional)
Pm (0.027, 0.973, 0.750)
Pm (0.973, 0.027, 0.250)
Y (0.000, 0.500, 0.000)
Y (0.500, 0.000, 0.500)
Ho (0.143, 0.418, 0.751)
Ho (0.191, 0.652, 0.500)
Ho (0.348, 0.809, 0.000)
Ho (0.412, 0.588, 0.250)
Ho (0.418, 0.143, 0.251)
Ho (0.582, 0.857, 0.749)
Ho (0.588, 0.412, 0.750)
Ho (0.652, 0.191, 0.000)
Ho (0.809, 0.348, 0.500)
Ho (0.857, 0.582, 0.249)

Properties
**SG**: C2/c (15)
**Formation energy**: 0.189 eV/atom

=====

Entry 5:
A relaxed Ac6SiPb crystal. Source: Alexandria via LeMat-Bulk, functional PBE.

a = 7.477 Å, b = 7.477 Å, c = 7.385 Å
α = 101.30°, β = 101.30°, γ = 113.99°
Element x y z (fractional)
Ac (0.014, 0.383, 0.247)
Ac (0.248, 0.248, 0.781)
Ac (0.383, 0.014, 0.247)
Ac (0.617, 0.986, 0.753)
Ac (0.752, 0.752, 0.219)
Ac (0.986, 0.617, 0.753)
Si (0.000, 0.000, 0.000)
Pb (0.500, 0.500, 0.500)

Properties
**Energy relative to the elements, uncorrected**: -0.074 eV/atom
**SG**: C2/m (12)

=====

Entry 6:
A relaxed La2Tb5Tm4 crystal. Source: Alexandria via LeMat-Bulk, functional PBE.

a = 8.915 Å, b = 8.915 Å, c = 6.715 Å
α = 100.18°, β = 100.18°, γ = 43.95°
Element x y z (fractional)
La (0.201, 0.201, 0.299)
La (0.799, 0.799, 0.701)
Tb (0.000, 0.000, 0.500)
Tb (0.176, 0.647, 0.093)
Tb (0.353, 0.824, 0.907)
Tb (0.647, 0.176, 0.093)
Tb (0.824, 0.353, 0.907)
Tm (0.243, 0.243, 0.808)
Tm (0.413, 0.413, 0.595)
Tm (0.587, 0.587, 0.405)
Tm (0.757, 0.757, 0.192)

Properties
**SG**: C2/m (12)
**Formation energy**: 0.158 eV/atom

=====

Entry 7:
A relaxed KHgBi2 crystal. Source: Alexandria via LeMat-Bulk, functional PBE.

a = 12.625 Å, b = 12.625 Å, c = 12.625 Å
α = 157.74°, β = 157.74°, γ = 31.69°
Element x y z (fractional)
K (0.000, 0.000, 0.000)
K (0.750, 0.250, 0.500)
Hg (0.250, 0.750, 0.500)
Hg (0.500, 0.500, 0.000)
Bi (0.173, 0.625, 0.048)
Bi (0.375, 0.423, 0.548)
Bi (0.577, 0.125, 0.952)
Bi (0.875, 0.827, 0.452)

Properties
**SG**: I-42d (122)
**Formation energy**: -0.087 eV/atom

=====

Entry 8:
A relaxed Ta2AgRh crystal. Source: Alexandria via LeMat-Bulk, functional PBE.

a = 2.859 Å, b = 4.125 Å, c = 5.659 Å
α = 90.00°, β = 90.43°, γ = 90.00°
Element x y z (fractional)
Ta (0.002, 0.000, 0.261)
Ta (0.998, 0.000, 0.739)
Ag (0.500, 0.500, 0.000)
Rh (0.500, 0.500, 0.500)

Properties
**SG**: P2/m (10)
**Formation energy**: -0.042 eV/atom

=====

Entry 9:
A relaxed Pr2ScGa2 crystal. Source: Alexandria via LeMat-Bulk, functional PBE.

a = 6.356 Å, b = 6.356 Å, c = 11.210 Å
α = 117.57°, β = 117.57°, γ = 41.90°
Element x y z (fractional)
Pr (0.019, 0.019, 0.185)
Pr (0.189, 0.189, 0.607)
Pr (0.811, 0.811, 0.393)
Pr (0.981, 0.981, 0.815)
Sc (0.284, 0.284, 0.127)
Sc (0.716, 0.716, 0.873)
Ga (0.372, 0.372, 0.933)
Ga (0.480, 0.480, 0.605)
Ga (0.520, 0.520, 0.395)
Ga (0.628, 0.628, 0.067)

Properties
**SG**: C2/m (12)
**Formation energy**: -0.489 eV/atom

=====

Entry 10:
A relaxed BeTlAg crystal. Source: Alexandria via LeMat-Bulk, functional PBE.

a = 3.180 Å, b = 3.180 Å, c = 6.440 Å
α = 90.00°, β = 90.00°, γ = 120.00°
Element x y z (fractional)
Be (0.000, 0.000, 0.000)
Tl (0.667, 0.333, 0.342)
Ag (0.333, 0.667, 0.751)

Properties
**SG**: P3m1 (156)
**Formation energy**: 0.448 eV/atom

=====

Entry 11:
A relaxed Pr2AgGeO6 crystal. Source: Alexandria via LeMat-Bulk, functional PBE.

a = 5.512 Å, b = 5.512 Å, c = 4.775 Å
α = 90.00°, β = 90.00°, γ = 90.00°
Element x y z (fractional)
Pr (0.000, 0.500, 0.000)
Pr (0.500, 0.000, 0.000)
Ag (0.000, 0.000, 0.565)
Ge (0.500, 0.500, 0.580)
O (0.000, 0.000, 0.102)
O (0.273, 0.273, 0.706)
O (0.273, 0.727, 0.706)
O (0.500, 0.500, 0.207)
O (0.727, 0.273, 0.706)
O (0.727, 0.727, 0.706)

Properties
**Energy relative to the elements, uncorrected**: -2.038 eV/atom
**SG**: P4mm (99)

=====

Entry 12:
A relaxed Na2DyPb3 crystal. Source: Alexandria via LeMat-Bulk, functional PBE.

a = 8.656 Å, b = 8.656 Å, c = 7.683 Å
α = 90.00°, β = 90.00°, γ = 143.52°
Element x y z (fractional)
Na (0.000, 0.000, 0.000)
Na (0.000, 0.000, 0.500)
Na (0.334, 0.666, 0.000)
Na (0.666, 0.334, 0.000)
Dy (0.341, 0.659, 0.500)
Dy (0.659, 0.341, 0.500)
Pb (0.168, 0.832, 0.258)
Pb (0.168, 0.832, 0.742)
Pb (0.500, 0.500, 0.248)
Pb (0.500, 0.500, 0.752)
Pb (0.832, 0.168, 0.258)
Pb (0.832, 0.168, 0.742)

Properties
**SG**: Cmmm (65)
**Formation energy**: -0.248 eV/atom

=====

Entry 13:
A relaxed Mn2TlCu crystal. Source: Alexandria via LeMat-Bulk, functional PBE.

a = 4.720 Å, b = 4.720 Å, c = 3.041 Å
α = 90.00°, β = 90.00°, γ = 107.46°
Element x y z (fractional)
Mn (0.000, 0.500, 0.000)
Mn (0.500, 0.000, 0.000)
Tl (0.000, 0.000, 0.500)
Cu (0.500, 0.500, 0.500)

Properties
**SG**: Cmmm (65)
**Formation energy**: 0.457 eV/atom

=====

Entry 14:
A relaxed Sm2PuHfP4 crystal. Source: Alexandria via LeMat-Bulk, functional PBE.

a = 6.841 Å, b = 3.961 Å, c = 6.877 Å
α = 90.00°, β = 109.23°, γ = 90.00°
Element x y z (fractional)
Sm (0.000, 0.000, 0.000)
Sm (0.500, 0.500, 0.000)
Pu (0.000, 0.500, 0.500)
Hf (0.500, 0.000, 0.500)
P (0.253, 0.000, 0.733)
P (0.265, 0.500, 0.271)
P (0.735, 0.500, 0.729)
P (0.747, 0.000, 0.267)

Properties
**SG**: P2/m (10)
**Formation energy**: -1.398 eV/atom

=====

Entry 15:
A relaxed AcNiI crystal. Source: Alexandria via LeMat-Bulk, functional PBE.

a = 4.303 Å, b = 4.303 Å, c = 5.488 Å
α = 90.00°, β = 90.00°, γ = 120.00°
Element x y z (fractional)
Ac (0.000, 0.000, 0.000)
Ni (0.667, 0.333, 0.268)
I (0.333, 0.667, 0.511)

Properties
**Energy relative to the elements, uncorrected**: -0.412 eV/atom
**SG**: P3m1 (156)

=====

Entry 16:
A relaxed Pr4Y6Ho5 crystal. Source: Alexandria via LeMat-Bulk, functional PBE.

a = 12.988 Å, b = 12.988 Å, c = 15.232 Å
α = 90.00°, β = 90.00°, γ = 157.44°
Element x y z (fractional)
Pr (0.050, 0.950, 0.500)
Pr (0.051, 0.949, 0.169)
Pr (0.150, 0.850, 0.000)
Pr (0.151, 0.849, 0.669)
Pr (0.849, 0.151, 0.169)
Pr (0.850, 0.150, 0.500)
Pr (0.949, 0.051, 0.669)
Pr (0.950, 0.050, 0.000)
Y (0.051, 0.949, 0.835)
Y (0.249, 0.751, 0.500)
Y (0.250, 0.750, 0.169)
Y (0.349, 0.651, 0.669)
Y (0.449, 0.551, 0.168)
Y (0.449, 0.551, 0.835)
Y (0.551, 0.449, 0.335)
Y (0.551, 0.449, 0.668)
Y (0.651, 0.349, 0.169)
Y (0.750, 0.250, 0.669)
Y (0.751, 0.249, 0.000)
Y (0.949, 0.051, 0.335)
Ho (0.151, 0.849, 0.335)
Ho (0.251, 0.749, 0.835)
Ho (0.349, 0.651, 0.000)
Ho (0.349, 0.651, 0.335)
Ho (0.449, 0.551, 0.501)
Ho (0.551, 0.449, 0.001)
Ho (0.651, 0.349, 0.500)
Ho (0.651, 0.349, 0.835)
Ho (0.749, 0.251, 0.335)
Ho (0.849, 0.151, 0.835)

Properties
**SG**: Cmc2_1 (36)
**Formation energy**: 0.022 eV/atom

=====

Entry 17:
A relaxed Sm2Y3Ho4 crystal. Source: Alexandria via LeMat-Bulk, functional PBE.

a = 10.175 Å, b = 10.175 Å, c = 5.983 Å
α = 95.78°, β = 95.78°, γ = 69.58°
Element x y z (fractional)
Sm (0.007, 0.783, 0.719)
Sm (0.217, 0.993, 0.781)
Sm (0.783, 0.007, 0.219)
Sm (0.993, 0.217, 0.281)
Y (0.151, 0.849, 0.250)
Y (0.183, 0.487, 0.414)
Y (0.487, 0.183, 0.914)
Y (0.513, 0.817, 0.086)
Y (0.817, 0.513, 0.586)
Y (0.849, 0.151, 0.750)
Ho (0.124, 0.340, 0.876)
Ho (0.331, 0.545, 0.954)
Ho (0.340, 0.124, 0.376)
Ho (0.455, 0.669, 0.546)
Ho (0.545, 0.331, 0.454)
Ho (0.660, 0.876, 0.624)
Ho (0.669, 0.455, 0.046)
Ho (0.876, 0.660, 0.124)

Properties
**SG**: C2/c (15)
**Formation energy**: 0.097 eV/atom

=====

Entry 18:
A relaxed Ac3ReSb crystal. Source: Alexandria via LeMat-Bulk, functional PBE.

a = 5.695 Å, b = 5.695 Å, c = 5.695 Å
α = 90.00°, β = 90.00°, γ = 90.00°
Element x y z (fractional)
Ac (0.000, 0.000, 0.500)
Ac (0.000, 0.500, 0.000)
Ac (0.500, 0.000, 0.000)
Re (0.000, 0.000, 0.000)
Sb (0.500, 0.500, 0.500)

Properties
**Energy relative to the elements, uncorrected**: -0.052 eV/atom
**SG**: Pm-3m (221)

=====

Entry 19:
A relaxed Pm2Er3Pb4 crystal. Source: Alexandria via LeMat-Bulk, functional PBE.

a = 8.816 Å, b = 8.816 Å, c = 6.784 Å
α = 102.49°, β = 102.49°, γ = 31.80°
Element x y z (fractional)
Pm (0.167, 0.167, 0.079)
Pm (0.833, 0.833, 0.921)
Er (0.392, 0.392, 0.428)
Er (0.500, 0.500, 0.000)
Er (0.608, 0.608, 0.572)
Pb (0.005, 0.005, 0.281)
Pb (0.241, 0.241, 0.668)
Pb (0.759, 0.759, 0.332)
Pb (0.995, 0.995, 0.719)

Properties
**SG**: C2/m (12)
**Formation energy**: -0.424 eV/atom

=====

Entry 20:
A relaxed CdP2N2 crystal. Source: Alexandria via LeMat-Bulk, functional PBE.

a = 6.464 Å, b = 6.464 Å, c = 6.464 Å
α = 145.96°, β = 145.96°, γ = 48.91°
Element x y z (fractional)
Cd (0.000, 0.000, 0.000)
P (0.250, 0.750, 0.500)
P (0.750, 0.250, 0.500)
N (0.451, 0.451, 0.000)
N (0.549, 0.549, 0.000)

Properties
**Energy relative to the elements, uncorrected**: 0.931 eV/atom
**SG**: I4/mmm (139)